! Pm2Y2Se3 | the Alexandria database | GGA-PBE | optimized geometry; values from VASP
&SYSTEM
  ibrav = 0, nat = 7, ntyp = 3
/
ATOMIC_SPECIES
Pm 145.00 Pm.upf
Y 88.91 Y.upf
Se 78.96 Se.upf
ATOMIC_POSITIONS crystal
Pm 0.0661 0.0661 0.2315
Pm 0.9339 0.9339 0.7685
Y 0.3390 0.3390 0.2286
Y 0.6610 0.6610 0.7714
Se 0.2929 0.2929 0.7610
Se 0.5000 0.5000 0.5000
Se 0.7071 0.7071 0.2390
CELL_PARAMETERS angstrom
7.6571 -2.0334 0.0000
7.6571 2.0334 0.0000
-0.5610 0.0000 6.2553
! ρ: 6.0 Mg/m³
! energy relative to the elements, uncorrected: -10.02 eV per formula unit



! Pm2ZnSe | the Alexandria database | GGA-PBE | optimized geometry; values from VASP
&SYSTEM
  ibrav = 0, nat = 4, ntyp = 3
/
ATOMIC_SPECIES
Pm 145.00 Pm.upf
Zn 65.41 Zn.upf
Se 78.96 Se.upf
ATOMIC_POSITIONS crystal
Pm 0.0000 0.0000 0.2486
Pm 0.0000 0.0000 0.7514
Zn 0.5000 0.5000 0.5000
Se 0.5000 0.5000 0.0000
CELL_PARAMETERS angstrom
3.7200 0.0000 0.0000
0.0000 3.7200 0.0000
0.0000 0.0000 7.0333
! ρ: 7.4 Mg/m³
! energy relative to the elements, uncorrected: -3.54 eV per formula unit
! energy relative to the lowest polymorph listed for this composition: 0.1794 eV per atom



! Pm2ZnSe | the Alexandria database | GGA-PBE | optimized geometry; values from VASP
&SYSTEM
  ibrav = 0, nat = 8, ntyp = 3
/
ATOMIC_SPECIES
Pm 145.00 Pm.upf
Zn 65.41 Zn.upf
Se 78.96 Se.upf
ATOMIC_POSITIONS crystal
Pm 0.0689 0.9311 0.7500
Pm 0.3166 0.6834 0.7500
Pm 0.6834 0.3166 0.2500
Pm 0.9311 0.0689 0.2500
Zn 0.4618 0.5382 0.7500
Zn 0.5382 0.4618 0.2500
Se 0.1925 0.8075 0.7500
Se 0.8075 0.1925 0.2500
CELL_PARAMETERS angstrom
2.0436 -11.8267 0.0000
2.0436 11.8267 0.0000
0.0000 0.0000 4.3252
! ρ: 6.9 Mg/m³
! energy relative to the elements, uncorrected: -4.26 eV per formula unit
! energy relative to the lowest polymorph listed for this composition: 0.0000 eV per atom



! Pm4ZnSe3 | the Alexandria database | GGA-PBE | optimized geometry; values from VASP
&SYSTEM
  ibrav = 0, nat = 8, ntyp = 3
/
ATOMIC_SPECIES
Pm 145.00 Pm.upf
Zn 65.41 Zn.upf
Se 78.96 Se.upf
ATOMIC_POSITIONS crystal
Pm 0.0000 0.5000 0.5000
Pm 0.2476 0.2476 0.0000
Pm 0.5000 0.0000 0.5000
Pm 0.7524 0.7524 0.0000
Zn 0.5000 0.5000 0.0000
Se 0.0000 0.0000 0.0000
Se 0.2500 0.7500 0.5000
Se 0.7500 0.2500 0.5000
CELL_PARAMETERS angstrom
-2.9801 2.9801 5.9453
2.9801 -2.9801 5.9453
2.9801 2.9801 -5.9453
! ρ: 6.9 Mg/m³
! energy relative to the elements, uncorrected: -11.79 eV per formula unit



! Pm2ZnSe | the Alexandria database | GGA-PBE | optimized geometry; values from VASP
&SYSTEM
  ibrav = 0, nat = 4, ntyp = 3
/
ATOMIC_SPECIES
Pm 145.00 Pm.upf
Zn 65.41 Zn.upf
Se 78.96 Se.upf
ATOMIC_POSITIONS crystal
Pm 0.0000 0.0000 0.0000
Pm 0.1654 0.1654 0.1654
Zn 0.5834 0.5834 0.5834
Se 0.4150 0.4150 0.4150
CELL_PARAMETERS angstrom
2.0004 1.1549 7.8518
-2.0004 1.1549 7.8518
0.0000 -2.3098 7.8518
! ρ: 6.6 Mg/m³
! energy relative to the elements, uncorrected: -3.72 eV per formula unit
! energy relative to the lowest polymorph listed for this composition: 0.1352 eV per atom



! Pm6ZnSe5 | the Alexandria database | GGA-PBE | optimized geometry; values from VASP
&SYSTEM
  ibrav = 0, nat = 12, ntyp = 3
/
ATOMIC_SPECIES
Pm 145.00 Pm.upf
Zn 65.41 Zn.upf
Se 78.96 Se.upf
ATOMIC_POSITIONS crystal
Pm 0.0819 0.4123 0.7474
Pm 0.2467 0.2467 0.2526
Pm 0.4123 0.0819 0.7474
Pm 0.5877 0.9181 0.2526
Pm 0.7533 0.7533 0.7474
Pm 0.9181 0.5877 0.2526
Zn 0.0000 0.0000 0.5000
Se 0.1687 0.8313 0.0000
Se 0.3341 0.6659 0.5000
Se 0.5000 0.5000 0.0000
Se 0.6659 0.3341 0.5000
Se 0.8313 0.1687 0.0000
CELL_PARAMETERS angstrom
3.6556 -6.3164 0.0000
3.6556 6.3164 0.0000
-2.4274 0.0000 6.8597
! ρ: 7.0 Mg/m³
! energy relative to the elements, uncorrected: -19.16 eV per formula unit



! Pm2ZnSe | the Alexandria database | GGA-PBE | optimized geometry; values from VASP
&SYSTEM
  ibrav = 0, nat = 4, ntyp = 3
/
ATOMIC_SPECIES
Pm 145.00 Pm.upf
Zn 65.41 Zn.upf
Se 78.96 Se.upf
ATOMIC_POSITIONS crystal
Pm 0.2461 0.2461 0.2461
Pm 0.7539 0.7539 0.7539
Zn 0.0000 0.0000 0.0000
Se 0.5000 0.5000 0.5000
CELL_PARAMETERS angstrom
2.0533 1.1854 7.3614
-2.0533 1.1854 7.3614
0.0000 -2.3709 7.3614
! ρ: 6.7 Mg/m³
! energy relative to the elements, uncorrected: -4.12 eV per formula unit
! energy relative to the lowest polymorph listed for this composition: 0.0355 eV per atom



! Pm2ZrSe5 | the Alexandria database | GGA-PBE | optimized geometry; values from VASP
&SYSTEM
  ibrav = 0, nat = 16, ntyp = 3
/
ATOMIC_SPECIES
Pm 145.00 Pm.upf
Zr 91.22 Zr.upf
Se 78.96 Se.upf
ATOMIC_POSITIONS crystal
Pm 0.1470 0.8530 0.5621
Pm 0.1470 0.8530 0.9379
Pm 0.8530 0.1470 0.0621
Pm 0.8530 0.1470 0.4379
Zr 0.1898 0.8102 0.2500
Zr 0.8102 0.1898 0.7500
Se 0.0485 0.9515 0.1242
Se 0.0485 0.9515 0.3758
Se 0.2688 0.7312 0.7500
Se 0.3079 0.6921 0.0859
Se 0.3079 0.6921 0.4141
Se 0.6921 0.3079 0.5859
Se 0.6921 0.3079 0.9141
Se 0.7312 0.2688 0.2500
Se 0.9515 0.0485 0.6242
Se 0.9515 0.0485 0.8758
CELL_PARAMETERS angstrom
2.7852 -7.0210 0.0000
2.7852 7.0210 0.0000
0.0000 0.0000 13.5299
! ρ: 4.9 Mg/m³
! energy relative to the elements, uncorrected: -12.63 eV per formula unit
! energy relative to the lowest polymorph listed for this composition: 0.1130 eV per atom



! PmZrSe3 | the Alexandria database | GGA-PBE | optimized geometry; values from VASP
&SYSTEM
  ibrav = 0, nat = 20, ntyp = 3
/
ATOMIC_SPECIES
Pm 145.00 Pm.upf
Zr 91.22 Zr.upf
Se 78.96 Se.upf
ATOMIC_POSITIONS crystal
Pm 0.1396 0.2500 0.1949
Pm 0.3604 0.7500 0.6949
Pm 0.6396 0.2500 0.3051
Pm 0.8604 0.7500 0.8051
Zr 0.1660 0.7500 0.4619
Zr 0.3340 0.2500 0.9619
Zr 0.6660 0.7500 0.0381
Zr 0.8340 0.2500 0.5381
Se 0.0096 0.7500 0.6202
Se 0.1565 0.7500 0.0418
Se 0.1570 0.2500 0.8023
Se 0.3430 0.7500 0.3023
Se 0.3435 0.2500 0.5418
Se 0.4904 0.2500 0.1202
Se 0.5096 0.7500 0.8798
Se 0.6565 0.7500 0.4582
Se 0.6570 0.2500 0.6977
Se 0.8430 0.7500 0.1977
Se 0.8435 0.2500 0.9582
Se 0.9904 0.2500 0.3798
CELL_PARAMETERS angstrom
8.6244 0.0000 0.0000
0.0000 3.8663 0.0000
0.0000 0.0000 14.6329
! ρ: 6.4 Mg/m³
! energy relative to the elements, uncorrected: -7.81 eV per formula unit



! PmZr2Se4 | the Alexandria database | GGA-PBE | optimized geometry; values from VASP
&SYSTEM
  ibrav = 0, nat = 14, ntyp = 3
/
ATOMIC_SPECIES
Pm 145.00 Pm.upf
Zr 91.22 Zr.upf
Se 78.96 Se.upf
ATOMIC_POSITIONS crystal
Pm 0.1055 0.8945 0.7500
Pm 0.8945 0.1055 0.2500
Zr 0.3515 0.6485 0.5589
Zr 0.3515 0.6485 0.9411
Zr 0.6485 0.3515 0.0589
Zr 0.6485 0.3515 0.4411
Se 0.0000 0.0000 0.0000
Se 0.0000 0.0000 0.5000
Se 0.2836 0.7164 0.1250
Se 0.2836 0.7164 0.3750
Se 0.4341 0.5659 0.7500
Se 0.5659 0.4341 0.2500
Se 0.7164 0.2836 0.6250
Se 0.7164 0.2836 0.8750
CELL_PARAMETERS angstrom
1.9172 -6.3025 0.0000
1.9172 6.3025 0.0000
0.0000 0.0000 13.8624
! ρ: 6.4 Mg/m³
! energy relative to the elements, uncorrected: -9.87 eV per formula unit



Question: energy relative to the elements, uncorrected of number 8 (Pm2ZrSe5)?
Answer: -12.63 eV per formula unit



Question: Which value of energy relative to the elements, uncorrected does entry 2 give?
Answer: -3.54 eV per formula unit



Question: The lowest energy relative to the elements, uncorrected belongs to which entry?
Answer: Pm6ZnSe5



Question: Look up the energy relative to the elements, uncorrected of the seventh one.
Answer: -4.12 eV per formula unit